No. 1
{"formula": "PuScZn2O6", "functional": "PBE", "state": "optimized geometry", "raw_formation_energy_ev_per_fu": -23.4, "final_energy_ev_per_atom": -7.637, "crystal_system": "trigonal", "rho_g_cm3": 6.9, "cell": [[-2.318, -3.471, -3.422], [-2.544, -4.366, 1.896], [-5.794, -0.074, -0.259]], "species": ["Pu", "Sc", "Zn", "Zn", "O", "O", "O", "O", "O", "O"], "fractional_positions": [[0.318, 0.318, 0.045], [0.816, 0.816, 0.552], [0.536, 0.536, 0.393], [0.030, 0.031, 0.908], [0.601, 0.212, 0.270], [0.212, 0.917, 0.271], [0.917, 0.601, 0.270], [0.419, 0.716, 0.769], [0.716, 0.096, 0.768], [0.096, 0.419, 0.768]]}

No. 2
{"formula": "PuZrScO6", "functional": "PBE", "state": "optimized geometry", "raw_formation_energy_ev_per_fu": -27.1, "final_energy_ev_per_atom": -9.560, "crystal_system": "trigonal", "rho_g_cm3": 6.6, "cell": [[5.539, 0.000, 0.000], [-2.769, 4.797, 0.000], [0.000, 0.000, 9.052]], "species": ["Pu", "Pu", "Zr", "Zr", "Sc", "Sc", "O", "O", "O", "O", "O", "O", "O", "O", "O", "O", "O", "O"], "fractional_positions": [[0.667, 0.333, 0.250], [0.333, 0.667, 0.750], [0.333, 0.667, 0.250], [0.667, 0.333, 0.750], [0.000, 0.000, 0.000], [0.000, 0.000, 0.500], [0.665, 0.666, 0.130], [0.002, 0.335, 0.130], [0.335, 0.002, 0.630], [0.998, 0.665, 0.870], [0.334, 0.335, 0.370], [0.002, 0.666, 0.370], [0.666, 0.002, 0.870], [0.665, 0.998, 0.370], [0.998, 0.334, 0.630], [0.334, 0.998, 0.130], [0.666, 0.665, 0.630], [0.335, 0.334, 0.870]]}

No. 3
{"formula": "Pu3Se2O2", "functional": "PBE", "state": "optimized geometry", "e_above_lowest_polymorph_mev_per_atom": 0, "raw_formation_energy_ev_per_fu": -15.5, "final_energy_ev_per_atom": -10.767, "crystal_system": "monoclinic", "rho_g_cm3": 10.7, "cell": [[-3.222, 1.599, -1.428], [-5.560, -1.813, 5.269], [-0.339, 8.560, 5.102]], "species": ["Pu", "Pu", "Pu", "Pu", "Pu", "Pu", "Se", "Se", "Se", "Se", "O", "O", "O", "O"], "fractional_positions": [[0.084, 0.998, 0.834], [0.916, 0.002, 0.166], [0.141, 0.505, 0.213], [0.859, 0.495, 0.787], [0.401, 0.739, 0.459], [0.599, 0.261, 0.541], [0.263, 0.126, 0.349], [0.737, 0.874, 0.651], [0.387, 0.251, 0.976], [0.613, 0.749, 0.024], [0.042, 0.240, 0.676], [0.958, 0.760, 0.324], [0.416, 0.516, 0.652], [0.584, 0.484, 0.348]]}